Record 1
GGA-PBE UNb2Fe, relaxed; relative energy among the computed polymorphs = 0 meV/atom; DOS(E_F) = 5.3 states/eV/f.u.; raw total energy = -9.72 eV/atom; calculated volume = 17.13 Å³/atom
1.0
6.496 0.000 0.000
0.000 6.496 0.000
0.000 0.000 6.496
U Nb Fe
4 8 4
Cartesian
0.000 0.000 0.000
0.000 3.248 3.248
3.248 0.000 3.248
3.248 3.248 0.000
1.624 1.624 1.624
1.624 1.624 4.872
1.624 4.872 1.624
1.624 4.872 4.872
4.872 1.624 1.624
4.872 1.624 4.872
4.872 4.872 1.624
4.872 4.872 4.872
0.000 0.000 3.248
0.000 3.248 0.000
3.248 0.000 0.000
3.248 3.248 3.248

Record 2
GGA-PBE UNbFe4, relaxed; DOS(E_F) = 9.0 states/eV/f.u.; raw total energy = -9.21 eV/atom; calculated volume = 13.88 Å³/atom
1.0
0.000 3.466 3.466
3.466 0.000 3.466
3.466 3.466 0.000
U Nb Fe
1 1 4
Cartesian
0.000 0.000 0.000
1.733 1.733 1.733
4.332 2.600 2.600
2.600 4.332 2.600
2.600 2.600 4.332
4.332 4.332 4.332

Record 3
GGA-PBE UNbFe2, relaxed; relative energy among the computed polymorphs = 0 meV/atom; DOS(E_F) = 3.6 states/eV/f.u.; raw total energy = -9.55 eV/atom; calculated volume = 15.34 Å³/atom
1.0
2.981 0.000 0.000
0.000 2.981 0.000
0.000 0.000 6.907
U Nb Fe
1 1 2
Cartesian
0.000 0.000 0.000
0.000 0.000 3.453
1.490 1.490 1.928
1.490 1.490 4.978

Record 4
GGA-PBE UNbFe, relaxed; relative energy among the computed polymorphs = 168 meV/atom; DOS(E_F) = 5.2 states/eV/f.u.; raw total energy = -9.75 eV/atom; calculated volume = 16.79 Å³/atom
1.0
3.343 0.000 0.000
0.000 3.343 0.000
0.000 0.000 9.012
U Nb Fe
2 2 2
Cartesian
0.000 0.000 0.000
1.672 1.672 4.506
0.000 0.000 2.705
1.672 1.672 7.211
0.000 0.000 5.548
1.672 1.672 1.042

Record 5
GGA-PBE UNbFe2, relaxed; relative energy among the computed polymorphs = 326 meV/atom; DOS(E_F) = 6.8 states/eV/f.u.; raw total energy = -9.22 eV/atom; calculated volume = 15.90 Å³/atom
1.0
2.921 0.000 0.000
-1.461 2.530 0.000
0.000 0.000 25.823
U Nb Fe
3 3 6
Cartesian
0.000 0.000 0.000
0.000 1.687 17.216
1.461 0.843 8.608
0.000 0.000 12.912
0.000 1.687 4.304
1.461 0.843 21.519
0.000 0.000 6.301
0.000 0.000 19.522
0.000 1.687 10.914
0.000 1.687 23.517
1.461 0.843 2.306
1.461 0.843 14.909

Record 6
GGA-PBE NbVFe6, relaxed; DOS(E_F) = 4.3 states/eV/f.u.; raw total energy = -8.81 eV/atom; calculated volume = 12.33 Å³/atom
1.0
3.051 -5.685 0.000
3.051 5.685 0.000
0.000 0.000 11.372
Nb V Fe
4 4 24
Cartesian
0.000 0.000 2.807
0.000 0.000 8.566
3.051 2.873 5.686
3.051 -2.873 5.686
3.051 2.861 0.000
3.051 0.000 2.806
3.051 0.000 8.566
3.051 -2.861 0.000
0.000 0.000 0.000
0.000 0.000 5.686
1.565 1.447 1.377
1.565 1.447 9.996
1.572 1.398 4.217
1.572 1.398 7.155
3.051 2.837 2.801
3.051 2.837 8.571
1.572 -1.398 4.217
1.572 -1.398 7.155
1.565 -1.447 1.377
1.565 -1.447 9.996
3.051 0.000 0.000
3.051 0.000 5.686
4.536 1.447 1.377
4.536 1.447 9.996
4.529 1.398 4.217
4.529 1.398 7.155
3.051 -2.837 2.801
3.051 -2.837 8.571
4.529 -1.398 4.217
4.529 -1.398 7.155
4.536 -1.447 1.377
4.536 -1.447 9.996

Record 7
GGA-PBE NbV3Fe, relaxed; relative energy among the computed polymorphs = 1172 meV/atom; DOS(E_F) = 8.0 states/eV/f.u.; raw total energy = -7.52 eV/atom; calculated volume = 18.74 Å³/atom
1.0
4.542 0.000 0.000
0.000 4.542 0.000
0.000 0.000 4.542
Nb V Fe
1 3 1
Cartesian
0.000 0.000 0.000
0.000 0.000 2.271
0.000 2.271 0.000
2.271 0.000 0.000
2.271 2.271 2.271

Record 8
GGA-PBE NbV3Fe, relaxed; relative energy among the computed polymorphs = 0 meV/atom; DOS(E_F) = 5.6 states/eV/f.u.; raw total energy = -8.69 eV/atom; calculated volume = 15.29 Å³/atom
1.0
2.417 -6.800 0.000
2.417 6.800 0.000
0.000 0.000 4.652
Nb V Fe
2 6 2
Cartesian
2.417 4.244 3.489
2.417 -4.244 1.163
0.000 0.000 0.000
0.000 0.000 2.326
1.236 1.871 3.489
1.236 -1.871 1.163
3.598 1.871 3.489
3.598 -1.871 1.163
2.417 0.735 1.163
2.417 -0.735 3.489

Question: What is the raw total energy in the fifth record?
Answer: -9.22 eV/atom

Question: What is the formula in the third record?
Answer: UNbFe2

Question: The highest calculated volume belongs to which entry?
Answer: number 7

Question: Which value of DOS(E_F) does entry 4 give?
Answer: 5.2 states/eV/f.u.